# PBE-GGA Mg3ZnRh, optimized geometry
# Symmetry = Pm-3m, No. 221
# Offset from the most stable computed form = 354 meV/atom
# Formation energy = 0.065 eV per atom
data_Mg3ZnRh
_chemical_formula_sum 'Mg3 Zn1 Rh1'
_cell_length_a 4.9383
_cell_length_b 4.9383
_cell_length_c 4.9383
_cell_angle_alpha 90.00
_cell_angle_beta 90.00
_cell_angle_gamma 90.00
_symmetry_space_group_name_H-M 'P 1'
_symmetry_Int_Tables_number 1
_symmetry_space_group_name_Hall 'P 1'
loop_
_atom_site_label
_atom_site_fract_x
_atom_site_fract_y
_atom_site_fract_z
Zn1 0.5000 0.5000 0.5000
Rh1 0.0000 0.0000 0.0000
Mg1 0.0000 0.5000 0.0000
Mg2 0.0000 0.0000 0.5000
Mg3 0.5000 0.0000 0.0000